Record 1
LiNi2P (PBE-GGA, relaxed); DFT formation energy = -0.3575 eV per atom; magnetic moment = 0.00 Bohr magnetons per cell
1.0
3.4022 0.0000 0.0000
0.0000 3.4170 0.0000
0.0000 0.0000 7.2944
Li Ni P
2 4 2
direct
0.0000 0.0000 0.0000
0.5000 0.5000 0.5000
0.0000 0.0000 0.4994
0.0000 0.5000 0.2497
0.5000 0.0000 0.7497
0.5000 0.5000 0.9994
0.0000 0.5000 0.7504
0.5000 0.0000 0.2504

Record 2
SmH6Pt3 (PBE-GGA, relaxed); magnetic moment = 0.00 Bohr magnetons per cell
1.0
2.4916 1.4385 4.8686
-2.4916 1.4385 4.8686
0.0000 -2.8770 4.8686
Sm H Pt
1 6 3
direct
0.0000 0.0000 0.0000
0.1664 0.5547 0.8608
0.5380 0.9980 0.5607
0.5547 0.8608 0.1664
0.5607 0.5380 0.9980
0.8608 0.1664 0.5547
0.9980 0.5607 0.5380
0.2038 0.2038 0.2038
0.4113 0.4113 0.4113
0.7895 0.7895 0.7895

Record 3
Ac2PbO (PBE-GGA, relaxed); magnetic moment = 0.00 Bohr magnetons per cell; formation energy from raw total energies = -1.691 eV/atom; energy relative to the lowest polymorph listed for this composition = 0 meV/atom
1.0
10.1469 0.0000 0.0000
0.0000 4.5203 0.0000
0.0000 0.0000 12.0919
Ac Pb O
8 4 4
direct
0.0050 0.2500 0.2239
0.1510 0.7500 0.4733
0.3490 0.2500 0.9733
0.4950 0.7500 0.7239
0.5050 0.2500 0.2761
0.6510 0.7500 0.0267
0.8490 0.2500 0.5267
0.9950 0.7500 0.7761
0.2432 0.2500 0.6916
0.2568 0.7500 0.1916
0.7432 0.2500 0.8084
0.7568 0.7500 0.3084
0.0523 0.2500 0.4177
0.4477 0.7500 0.9177
0.5523 0.2500 0.0823
0.9477 0.7500 0.5823

| no. | electronic total energy (eV/atom) |
| --- | --- |
| 1 | -5.079 |
| 2 | -4.566 |
| 3 | -5.912 |